(1)
Computed, not measured: a relaxed Li2CaGeF crystal at the PBE-GGA level of DFT.

## Properties
Space group: P4/mmm, No. 123
Crystal system: tetragonal
DOS at the Fermi energy (states/eV per cell): 4.6
Calculated volume (Å³ per atom): 16.40
Energy relative to the elements, uncorrected (eV/atom): -1.332
ρ (g/cm3): 2.9
Calculated total energy (eV per atom): -3.7959

extended XYZ file:
```
5
Lattice="4.194 0.000 0.000 0.000 4.194 0.000 0.000 0.000 4.662" Properties=species:S:1:pos:R:3 pbc="T T T"
Li 0.000 2.097 0.000
Li 2.097 0.000 0.000
Ca 0.000 0.000 2.331
Ge 2.097 2.097 2.331
F 0.000 0.000 0.000
```



(2)
Computed, not measured: a relaxed LiCa2GeF crystal at the PBE-GGA level of DFT.

## Properties
Space group: P4/mmm, No. 123
Crystal system: tetragonal
DOS at the Fermi energy (states/eV per cell): 0.5
Calculated volume (Å³ per atom): 19.58
Energy relative to the elements, uncorrected (eV/atom): -1.440
ρ (g/cm3): 3.0
Calculated total energy (eV per atom): -3.9210

extended XYZ file:
```
5
Lattice="4.821 0.000 0.000 0.000 4.821 0.000 0.000 0.000 4.213" Properties=species:S:1:pos:R:3 pbc="T T T"
Li 0.000 0.000 0.000
Ca 0.000 2.410 2.107
Ca 2.410 0.000 2.107
Ge 2.410 2.410 0.000
F 0.000 0.000 2.107
```



(3)
Computed, not measured: a relaxed CaGeN2F crystal at the PBE-GGA level of DFT.

## Properties
Space group: P4/mmm, No. 123
Relative energy among the computed polymorphs (meV/atom): 0
Crystal system: tetragonal
DOS at the Fermi energy (states/eV per cell): 0.8
Calculated volume (Å³ per atom): 11.96
Energy relative to the elements, uncorrected (eV/atom): -0.718
ρ (g/cm3): 4.4
Calculated total energy (eV per atom): -5.7465

extended XYZ file:
```
5
Lattice="3.781 0.000 0.000 0.000 3.781 0.000 0.000 0.000 4.184" Properties=species:S:1:pos:R:3 pbc="T T T"
Ca 0.000 0.000 0.000
Ge 1.891 1.891 2.092
N 0.000 1.891 2.092
N 1.891 0.000 2.092
F 1.891 1.891 0.000
```



(4)
Computed, not measured: a relaxed Ca5GeN4F2 crystal at the PBE-GGA level of DFT.

## Properties
Space group: Amm2, No. 38
Crystal system: orthorhombic
Calculated volume (Å³ per atom): 15.85
Energy relative to the elements, uncorrected (eV/atom): -1.482
ρ (g/cm3): 3.2
Calculated total energy (eV per atom): -5.7877

extended XYZ file:
```
12
Lattice="6.981 0.000 0.000 0.000 4.722 2.884 0.000 -4.722 2.884" Properties=species:S:1:pos:R:3 pbc="T T T"
Ca 0.000 0.000 0.000
Ca 1.971 -1.742 2.778
Ca 1.971 1.742 2.778
Ca 5.010 -1.742 2.778
Ca 5.010 1.742 2.778
Ge 3.490 0.000 0.001
N 1.933 0.000 1.168
N 3.490 -1.522 4.612
N 3.490 1.522 4.612
N 5.048 0.000 1.168
F 0.000 -1.814 4.300
F 0.000 1.814 4.300
```



(5)
Computed, not measured: a relaxed CaGeN2F crystal at the PBE-GGA level of DFT.

## Properties
Space group: P4/mmm, No. 123
Relative energy among the computed polymorphs (meV/atom): 1197
Crystal system: tetragonal
DOS at the Fermi energy (states/eV per cell): 2.9
Calculated volume (Å³ per atom): 17.75
Energy relative to the elements, uncorrected (eV/atom): 0.479
ρ (g/cm3): 3.0
Calculated total energy (eV per atom): -4.5490

extended XYZ file:
```
5
Lattice="4.618 0.000 0.000 0.000 4.618 0.000 0.000 0.000 4.163" Properties=species:S:1:pos:R:3 pbc="T T T"
Ca 0.000 0.000 0.000
Ge 2.309 2.309 2.081
N 0.000 2.309 0.000
N 2.309 0.000 0.000
F 0.000 0.000 2.081
```



(6)
Computed, not measured: a relaxed CaGeOsF2 crystal at the PBE-GGA level of DFT.

## Properties
Space group: P4/mmm, No. 123
Crystal system: tetragonal
DOS at the Fermi energy (states/eV per cell): 4.1
Calculated volume (Å³ per atom): 22.64
Energy relative to the elements, uncorrected (eV/atom): -0.942
ρ (g/cm3): 5.0
Calculated total energy (eV per atom): -5.2606

extended XYZ file:
```
5
Lattice="4.046 0.000 0.000 0.000 4.046 0.000 0.000 0.000 6.915" Properties=species:S:1:pos:R:3 pbc="T T T"
Ca 0.000 0.000 0.000
Ge 2.023 2.023 3.457
Os 0.000 0.000 3.457
F 0.000 2.023 0.000
F 2.023 0.000 0.000
```



(7)
Computed, not measured: a relaxed CaGe2SbF crystal at the PBE-GGA level of DFT.

## Properties
Space group: P4/mmm, No. 123
Crystal system: tetragonal
DOS at the Fermi energy (states/eV per cell): 5.5
Calculated volume (Å³ per atom): 35.30
Energy relative to the elements, uncorrected (eV/atom): 0.664
ρ (g/cm3): 3.1
Calculated total energy (eV per atom): -2.7821

extended XYZ file:
```
5
Lattice="5.567 0.000 0.000 0.000 5.567 0.000 0.000 0.000 5.696" Properties=species:S:1:pos:R:3 pbc="T T T"
Ca 0.000 0.000 0.000
Ge 0.000 2.783 0.000
Ge 2.783 0.000 0.000
Sb 0.000 0.000 2.848
F 2.783 2.783 2.848
```



Copy entry 6 word for word.
Computed, not measured: a relaxed CaGeOsF2 crystal at the PBE-GGA level of DFT.

## Properties
Space group: P4/mmm, No. 123
Crystal system: tetragonal
DOS at the Fermi energy (states/eV per cell): 4.1
Calculated volume (Å³ per atom): 22.64
Energy relative to the elements, uncorrected (eV/atom): -0.942
ρ (g/cm3): 5.0
Calculated total energy (eV per atom): -5.2606

extended XYZ file:
```
5
Lattice="4.046 0.000 0.000 0.000 4.046 0.000 0.000 0.000 6.915" Properties=species:S:1:pos:R:3 pbc="T T T"
Ca 0.000 0.000 0.000
Ge 2.023 2.023 3.457
Os 0.000 0.000 3.457
F 0.000 2.023 0.000
F 2.023 0.000 0.000
```